The following is a DFT calculation (GGA-PBE) of NbVCu2 after structural relaxation.

Results
Its energy above the most stable polymorph in this dataset is 0.127 eV/atom. As for the crystal system: cubic. Its symmetry is Fm-3m, No. 225. The formation energy comes out at 0.253 eV/atom. For the density of states at the Fermi level, the calculation gives 2.898 states/eV per cell.

abc: 4.319 4.319 4.319
angles: 60.00 60.00 60.00
Fractional positions:
1 Cu 0.250 0.250 0.250
2 Cu 0.750 0.750 0.750
3 Nb 0.500 0.500 0.500
4 V 0.000 0.000 0.000